## SrLiPuIr (PBE-GGA)

Data for a relaxed structure of SrLiPuIr.

## Properties
total DFT energy (no corrections)	-26.9	eV per formula unit
E_form	-0.0401	eV per atom
magnetic moment	5.85	μB/f.u.

Cell lengths 7.174, 7.174, 7.174 Å; angles 90.00, 90.00, 90.00 degrees
Space group F-43m (No. 216)
Inequivalent atoms, fractional coordinates:
Sr1 0.000 0.000 0.000
Li1 0.250 0.250 0.250
Pu1 0.000 0.000 0.500
Ir1 0.250 0.250 0.750